The following is a DFT calculation (PBE-GGA) of a geometry-optimized PrNiBiSb structure.

Summary:
Offset from the most stable computed form (eV/f.u.): 0.46
Total magnetization (μB per cell): 0.0

Cell lengths 4.5114, 4.5114, 9.7628 Å; angles 90.00, 90.00, 90.00 degrees
Element x y z (fractional)
Pr1 0.2500 0.2500 0.2424
Pr2 0.7500 0.7500 0.7576
Ni1 0.2500 0.7500 0.0000
Ni2 0.7500 0.2500 0.0000
Bi1 0.2500 0.2500 0.8582
Bi2 0.7500 0.7500 0.1418
Sb1 0.2500 0.7500 0.5000
Sb2 0.7500 0.2500 0.5000

---

The following is a DFT calculation (PBE-GGA) of a geometry-optimized PrNiBiSb structure.

Summary:
Offset from the most stable computed form (eV/f.u.): 0.00
Total magnetization (μB per cell): 0.0

Cell lengths 4.4998, 4.4998, 9.8695 Å; angles 90.00, 90.00, 90.00 degrees
Element x y z (fractional)
Pr1 0.2500 0.2500 0.2291
Pr2 0.7500 0.7500 0.7709
Ni1 0.2500 0.7500 0.0000
Ni2 0.7500 0.2500 0.0000
Bi1 0.2500 0.7500 0.5000
Bi2 0.7500 0.2500 0.5000
Sb1 0.2500 0.2500 0.8709
Sb2 0.7500 0.7500 0.1291

---

The following is a DFT calculation (PBE-GGA) of a geometry-optimized PrNi2BiSb structure.

Summary:
Uncorrected energy (eV/atom): -5.342
Total magnetization (μB per cell): 0.0

Cell lengths 4.5505, 4.5505, 10.2243 Å; angles 90.00, 90.00, 90.00 degrees
Element x y z (fractional)
Pr1 0.2500 0.2500 0.2272
Pr2 0.7500 0.7500 0.7728
Ni1 0.2500 0.2500 0.6373
Ni2 0.2500 0.7500 0.0000
Ni3 0.7500 0.2500 0.0000
Ni4 0.7500 0.7500 0.3627
Bi1 0.2500 0.7500 0.5000
Bi2 0.7500 0.2500 0.5000
Sb1 0.2500 0.2500 0.8791
Sb2 0.7500 0.7500 0.1209

---

The following is a DFT calculation (PBE-GGA) of a geometry-optimized PrSmNi2Bi2Sb2 structure.

Summary:
Uncorrected energy (eV/atom): -5.292
Total magnetization (μB per cell): 0.0

Cell lengths 4.4894, 4.4894, 9.8354 Å; angles 90.00, 90.00, 90.00 degrees
Element x y z (fractional)
Pr1 0.0000 0.0000 0.0000
Sm1 0.5000 0.5000 0.4574
Ni1 0.0000 0.5000 0.2303
Ni2 0.5000 0.0000 0.2303
Bi1 0.0000 0.5000 0.7279
Bi2 0.5000 0.0000 0.7279
Sb1 0.0000 0.0000 0.3608
Sb2 0.5000 0.5000 0.0993

---

The following is a DFT calculation (PBE-GGA) of a geometry-optimized PrSmNi2Bi4 structure.

Summary:
Uncorrected energy (eV/atom): -5.117
Total magnetization (μB per cell): 0.0

Cell lengths 4.5894, 4.5894, 9.7156 Å; angles 90.00, 90.00, 90.00 degrees
Element x y z (fractional)
Pr1 0.0000 0.0000 0.0000
Sm1 0.5000 0.5000 0.4563
Ni1 0.0000 0.5000 0.2300
Ni2 0.5000 0.0000 0.2300
Bi1 0.0000 0.0000 0.3722
Bi2 0.0000 0.5000 0.7272
Bi3 0.5000 0.0000 0.7272
Bi4 0.5000 0.5000 0.0873

---

The following is a DFT calculation (PBE-GGA) of a geometry-optimized PrNi2SnBi structure.

Summary:
Uncorrected energy (eV/atom): -5.270
Total magnetization (μB per cell): 0.0

Cell lengths 4.4796, 4.4796, 10.4086 Å; angles 90.00, 90.00, 90.00 degrees
Element x y z (fractional)
Pr1 0.2500 0.2500 0.2460
Pr2 0.7500 0.7500 0.7540
Ni1 0.2500 0.2500 0.6208
Ni2 0.2500 0.7500 0.0000
Ni3 0.7500 0.2500 0.0000
Ni4 0.7500 0.7500 0.3792
Sn1 0.2500 0.7500 0.5000
Sn2 0.7500 0.2500 0.5000
Bi1 0.2500 0.2500 0.8687
Bi2 0.7500 0.7500 0.1313

---

The following is a DFT calculation (PBE-GGA) of a geometry-optimized NiBi2Pt structure.

Summary:
Uncorrected energy (eV/atom): -4.484
Total magnetization (μB per cell): 0.3

Cell lengths 4.9430, 4.9430, 4.9430 Å; angles 60.00, 60.00, 60.00 degrees
Element x y z (fractional)
Ni1 0.0000 0.0000 0.0000
Bi1 0.2500 0.2500 0.2500
Bi2 0.5000 0.5000 0.5000
Pt1 0.7500 0.7500 0.7500

---

The following is a DFT calculation (PBE-GGA) of a geometry-optimized Ni2BiPt structure.

Summary:
Uncorrected energy (eV/atom): -5.161
Total magnetization (μB per cell): 0.0

Cell lengths 4.4738, 4.4738, 4.4738 Å; angles 60.00, 60.00, 60.00 degrees
Element x y z (fractional)
Ni1 0.0000 0.0000 0.0000
Ni2 0.2500 0.2500 0.2500
Bi1 0.5000 0.5000 0.5000
Pt1 0.7500 0.7500 0.7500

---

The following is a DFT calculation (PBE-GGA) of a geometry-optimized NiBiPt2 structure.

Summary:
Uncorrected energy (eV/atom): -5.377
Total magnetization (μB per cell): 0.0

Cell lengths 4.5924, 4.5924, 4.5924 Å; angles 60.00, 60.00, 60.00 degrees
Element x y z (fractional)
Ni1 0.0000 0.0000 0.0000
Bi1 0.7500 0.7500 0.7500
Pt1 0.2500 0.2500 0.2500
Pt2 0.5000 0.5000 0.5000

---

The following is a DFT calculation (PBE-GGA) of a geometry-optimized ReNiBiPt structure.

Summary:
Uncorrected energy (eV/atom): -6.342
Total magnetization (μB per cell): 2.5

Cell lengths 4.5997, 4.5997, 4.5997 Å; angles 60.00, 60.00, 60.00 degrees
Element x y z (fractional)
Re1 0.0000 0.0000 0.0000
Ni1 0.7500 0.7500 0.7500
Bi1 0.5000 0.5000 0.5000
Pt1 0.2500 0.2500 0.2500

---

The following is a DFT calculation (PBE-GGA) of a geometry-optimized TaNiBiPt structure.

Summary:
Offset from the most stable computed form (eV/f.u.): 0.11
Total magnetization (μB per cell): 0.0

Cell lengths 4.6636, 4.6636, 4.6636 Å; angles 60.00, 60.00, 60.00 degrees
Element x y z (fractional)
Ta1 0.0000 0.0000 0.0000
Ni1 0.7500 0.7500 0.7500
Bi1 0.5000 0.5000 0.5000
Pt1 0.2500 0.2500 0.2500

---

The following is a DFT calculation (PBE-GGA) of a geometry-optimized TaNiBiPt structure.

Summary:
Offset from the most stable computed form (eV/f.u.): 0.00
Total magnetization (μB per cell): 0.0

Cell lengths 4.6330, 4.6330, 4.6330 Å; angles 60.00, 60.00, 60.00 degrees
Element x y z (fractional)
Ta1 0.0000 0.0000 0.0000
Ni1 0.5000 0.5000 0.5000
Bi1 0.2500 0.2500 0.2500
Pt1 0.7500 0.7500 0.7500

---

The following is a DFT calculation (PBE-GGA) of a geometry-optimized Y2NiBi2Pt structure.

Summary:
Uncorrected energy (eV/atom): -6.302
Total magnetization (μB per cell): 0.0

Cell lengths 8.1291, 4.6861, 15.5366 Å; angles 90.00, 99.91, 90.00 degrees
Element x y z (fractional)
Y1 0.0000 0.0000 0.0000
Y2 0.9996 0.5000 0.4981
Y3 0.2481 0.5000 0.2474
Y4 0.2525 0.0000 0.7552
Y5 0.5021 0.5000 0.9988
Y6 0.5041 0.0000 0.4979
Y7 0.7533 0.0000 0.2480
Y8 0.7546 0.5000 0.7549
Ni1 0.0630 0.0000 0.1855
Ni2 0.3140 0.0000 0.9399
Ni3 0.8149 0.0000 0.4356
Ni4 0.8156 0.5000 0.9399
Bi1 0.1166 0.0000 0.3699
Bi2 0.1285 0.5000 0.8816
Bi3 0.3663 0.0000 0.1213
Bi4 0.3772 0.5000 0.6256
Bi5 0.6290 0.0000 0.8813
Bi6 0.6361 0.5000 0.3762
Bi7 0.8757 0.0000 0.6204
Bi8 0.8838 0.5000 0.1226
Pt1 0.0646 0.5000 0.6889
Pt2 0.3138 0.5000 0.4357
Pt3 0.5636 0.5000 0.1861
Pt4 0.5653 0.0000 0.6890

---

The following is a DFT calculation (PBE-GGA) of a geometry-optimized ZnNiBiPt structure.

Summary:
Uncorrected energy (eV/atom): -4.248
Total magnetization (μB per cell): 0.0

Cell lengths 4.5906, 4.5906, 4.5906 Å; angles 60.00, 60.00, 60.00 degrees
Element x y z (fractional)
Zn1 0.0000 0.0000 0.0000
Ni1 0.7500 0.7500 0.7500
Bi1 0.5000 0.5000 0.5000
Pt1 0.2500 0.2500 0.2500

---

The following is a DFT calculation (PBE-GGA) of a geometry-optimized ZrNiBiPt structure.

Summary:
Uncorrected energy (eV/atom): -6.384
Total magnetization (μB per cell): 0.0

Cell lengths 4.7319, 4.7319, 4.7319 Å; angles 60.00, 60.00, 60.00 degrees
Element x y z (fractional)
Zr1 0.0000 0.0000 0.0000
Ni1 0.7500 0.7500 0.7500
Bi1 0.5000 0.5000 0.5000
Pt1 0.2500 0.2500 0.2500

---

The following is a DFT calculation (PBE-GGA) of a geometry-optimized RbNiBiS3 structure.

Summary:
Uncorrected energy (eV/atom): -4.334
Total magnetization (μB per cell): 4.0

Cell lengths 7.4586, 7.4586, 10.9677 Å; angles 90.00, 90.00, 148.42 degrees
Element x y z (fractional)
Rb1 0.2385 0.7615 0.7500
Rb2 0.7615 0.2385 0.2500
Ni1 0.0364 0.9636 0.2500
Ni2 0.9636 0.0364 0.7500
Bi1 0.5000 0.5000 0.0000
Bi2 0.5000 0.5000 0.5000
S1 0.1230 0.8770 0.0746
S2 0.1230 0.8770 0.4254
S3 0.4574 0.5426 0.2500
S4 0.5426 0.4574 0.7500
S5 0.8770 0.1230 0.5746
S6 0.8770 0.1230 0.9254

---

The following is a DFT calculation (PBE-GGA) of a geometry-optimized RbNiBiSe3 structure.

Summary:
Uncorrected energy (eV/atom): -3.991
Total magnetization (μB per cell): 4.0

Cell lengths 7.7610, 7.7610, 11.3680 Å; angles 90.00, 90.00, 148.43 degrees
Element x y z (fractional)
Rb1 0.2420 0.7580 0.7500
Rb2 0.7580 0.2420 0.2500
Ni1 0.0345 0.9655 0.2500
Ni2 0.9655 0.0345 0.7500
Bi1 0.5000 0.5000 0.0000
Bi2 0.5000 0.5000 0.5000
Se1 0.1251 0.8749 0.0731
Se2 0.1251 0.8749 0.4269
Se3 0.4515 0.5485 0.2500
Se4 0.5485 0.4515 0.7500
Se5 0.8749 0.1251 0.5731
Se6 0.8749 0.1251 0.9269

---

The following is a DFT calculation (PBE-GGA) of a geometry-optimized RbNiBiTe3 structure.

Summary:
Uncorrected energy (eV/atom): -3.647
Total magnetization (μB per cell): 3.7

Cell lengths 8.2924, 8.2924, 12.0297 Å; angles 90.00, 90.00, 148.88 degrees
Element x y z (fractional)
Rb1 0.2450 0.7550 0.7500
Rb2 0.7550 0.2450 0.2500
Ni1 0.0350 0.9650 0.2500
Ni2 0.9650 0.0350 0.7500
Bi1 0.5000 0.5000 0.0000
Bi2 0.5000 0.5000 0.5000
Te1 0.1279 0.8721 0.0720
Te2 0.1279 0.8721 0.4280
Te3 0.4494 0.5506 0.2500
Te4 0.5506 0.4494 0.7500
Te5 0.8721 0.1279 0.5720
Te6 0.8721 0.1279 0.9280

---

The following is a DFT calculation (PBE-GGA) of a geometry-optimized ReNiBi2 structure.

Summary:
Uncorrected energy (eV/atom): -5.382
Total magnetization (μB per cell): 0.0

Cell lengths 4.8867, 4.8867, 4.8867 Å; angles 60.00, 60.00, 60.00 degrees
Element x y z (fractional)
Re1 0.0000 0.0000 0.0000
Ni1 0.7500 0.7500 0.7500
Bi1 0.2500 0.2500 0.2500
Bi2 0.5000 0.5000 0.5000

---

The following is a DFT calculation (PBE-GGA) of a geometry-optimized ReNi2Bi structure.

Summary:
Uncorrected energy (eV/atom): -6.242
Total magnetization (μB per cell): 0.4

Cell lengths 4.4279, 4.4279, 4.4279 Å; angles 60.00, 60.00, 60.00 degrees
Element x y z (fractional)
Re1 0.0000 0.0000 0.0000
Ni1 0.2500 0.2500 0.2500
Ni2 0.5000 0.5000 0.5000
Bi1 0.7500 0.7500 0.7500

---

The following is a DFT calculation (PBE-GGA) of a geometry-optimized ReNiBi structure.

Summary:
Offset from the most stable computed form (eV/f.u.): 0.00
Total magnetization (μB per cell): 1.3

Cell lengths 4.3999, 4.3999, 4.3999 Å; angles 60.00, 60.00, 60.00 degrees
Element x y z (fractional)
Re1 0.0000 0.0000 0.0000
Ni1 0.2500 0.2500 0.2500
Bi1 0.7500 0.7500 0.7500

---

The following is a DFT calculation (PBE-GGA) of a geometry-optimized ScReNiBi structure.

Summary:
Uncorrected energy (eV/atom): -6.540
Total magnetization (μB per cell): 0.7

Cell lengths 4.6603, 4.6603, 4.6603 Å; angles 60.00, 60.00, 60.00 degrees
Element x y z (fractional)
Sc1 0.0000 0.0000 0.0000
Re1 0.7500 0.7500 0.7500
Ni1 0.5000 0.5000 0.5000
Bi1 0.2500 0.2500 0.2500

---

The following is a DFT calculation (PBE-GGA) of a geometry-optimized NiBi4S7 structure.

Summary:
Uncorrected energy (eV/atom): -4.420
Total magnetization (μB per cell): 0.4

Cell lengths 8.1646, 8.1646, 11.2867 Å; angles 130.34, 130.34, 31.40 degrees
Element x y z (fractional)
Ni1 0.0000 0.0000 0.0000
Bi1 0.2755 0.2755 0.6848
Bi2 0.4203 0.4203 0.2230
Bi3 0.5797 0.5797 0.7770
Bi4 0.7245 0.7245 0.3152
S1 0.0480 0.0480 0.2364
S2 0.2323 0.2323 0.8730
S3 0.3689 0.3689 0.4422
S4 0.5000 0.5000 0.0000
S5 0.6311 0.6311 0.5578
S6 0.7677 0.7677 0.1270
S7 0.9520 0.9520 0.7636